# 1
VASP calculation (GGA-PBE) on a geometry-optimized PrNd2ZnN structure.

Computed properties:
uncorrected formation energy = -0.612 eV per atom
DOS at the Fermi energy = 5.07 states/eV per cell

a = 4.9897 Å, b = 4.9897 Å, c = 5.0449 Å
α = 90.00°, β = 90.00°, γ = 90.00°
With the nearest neighbours (Å) after each atom.
Space group P4/mmm (No. 123)
Symmetry-distinct sites (fractional):
1 Pr 0.0000 0.0000 0.0000 [1 per cell]  2 N 2.52
2 Nd 0.0000 0.5000 0.5000 [2 per cell]  2 N 2.49
3 Zn 0.5000 0.5000 0.0000 [1 per cell]  4 Pr 3.53, 8 Nd 3.55
4 N 0.0000 0.0000 0.5000 [1 per cell]  4 Nd 2.49, 2 Pr 2.52

***

# 2
VASP calculation (GGA-PBE) on a geometry-optimized Pr2NdZnN structure.

Computed properties:
uncorrected formation energy = -0.601 eV per atom
DOS at the Fermi energy = 5.11 states/eV per cell

a = 5.0432 Å, b = 5.0432 Å, c = 4.9859 Å
α = 90.00°, β = 90.00°, γ = 90.00°
With the nearest neighbours (Å) after each atom.
Space group P4/mmm (No. 123)
Symmetry-distinct sites (fractional):
1 Pr 0.0000 0.5000 0.0000 [2 per cell]  2 N 2.52
2 Nd 0.0000 0.0000 0.5000 [1 per cell]  2 N 2.49
3 Zn 0.5000 0.5000 0.5000 [1 per cell]  8 Pr 3.55, 4 Nd 3.57
4 N 0.0000 0.0000 0.0000 [1 per cell]  2 Nd 2.49, 4 Pr 2.52

***

# 3
VASP calculation (GGA-PBE) on a geometry-optimized Pr2NdZrN4 structure.

Computed properties:
uncorrected formation energy = -1.394 eV per atom
DOS at the Fermi energy = 1.16 states/eV per cell

a = 6.1664 Å, b = 3.5429 Å, c = 6.1810 Å
α = 90.00°, β = 109.06°, γ = 90.00°
With the nearest neighbours (Å) after each atom.
Space group P2/m (No. 10)
Symmetry-distinct sites (fractional):
1 Pr 0.0000 0.0000 0.0000 [1 per cell]  6 N 2.65-2.68
2 Pr 0.5000 0.5000 0.0000 [1 per cell]  6 N 2.53
3 Nd 0.0000 0.5000 0.5000 [1 per cell]  6 N 2.51-2.52
4 Zr 0.5000 0.0000 0.5000 [1 per cell]  6 N 2.35-2.40
5 N 0.2649 0.0000 0.7315 [2 per cell]  1 Zr 2.35, 2 Nd 2.52, 2 Pr 2.53
6 N 0.2738 0.5000 0.2755 [2 per cell]  2 Zr 2.40, 1 Nd 2.51, 3 Pr 2.53-2.65

***

# 4
VASP calculation (GGA-PBE) on a geometry-optimized Nd12Pt6N structure.

Computed properties:
uncorrected formation energy = -0.816 eV per atom
DOS at the Fermi energy = 59.62 states/eV per cell

a = 12.5758 Å, b = 12.5758 Å, c = 12.1438 Å
α = 90.00°, β = 90.00°, γ = 120.00°
With the nearest neighbours (Å) after each atom.
Space group R-3 (No. 148, hexagonal axes)
Symmetry-distinct sites (fractional):
1 Nd 0.0256 0.8103 0.3935 [18 per cell]  3 Pt 2.80-3.08
2 Nd 0.0387 0.8497 0.8857 [18 per cell]  1 N 2.58
3 Pt 0.0483 0.7777 0.6491 [18 per cell]  5 Nd 2.80-3.08
4 N 0.0000 0.0000 0.0000 [3 per cell]  6 Nd 2.58

***

# 5
VASP calculation (GGA-PBE) on a geometry-optimized Nd3PtN structure.

Computed properties:
uncorrected formation energy = -0.874 eV per atom
DOS at the Fermi energy = 31.01 states/eV per cell

a = 13.8144 Å, b = 11.0524 Å, c = 6.7106 Å
α = 90.00°, β = 100.59°, γ = 90.00°
With the nearest neighbours (Å) after each atom.
Space group C2/c (No. 15)
Symmetry-distinct sites (fractional):
1 Nd 0.1027 0.2394 0.4571 [8 per cell]  2 N 2.51-2.63
2 Nd 0.1052 0.0815 0.9537 [8 per cell]  3 N 2.54-2.67
3 Nd 0.1139 0.4093 0.9068 [8 per cell]  1 N 2.50
4 Pt 0.2411 0.3909 0.2893 [8 per cell]  5 Nd 2.84-3.02
5 N 0.0000 0.0806 0.2500 [4 per cell]  6 Nd 2.51-2.67
6 N 0.0000 0.2459 0.7500 [4 per cell]  6 Nd 2.50-2.63

***

# 6
VASP calculation (GGA-PBE) on a geometry-optimized Nd3Pt2N structure.

Computed properties:
uncorrected formation energy = -1.003 eV per atom
DOS at the Fermi energy = 11.65 states/eV per cell

a = 13.1756 Å, b = 5.8669 Å, c = 7.5561 Å
α = 90.00°, β = 106.67°, γ = 90.00°
With the nearest neighbours (Å) after each atom.
Space group C2/c (No. 15)
Symmetry-distinct sites (fractional):
1 Nd 0.0000 0.0397 0.2500 [4 per cell]  1 N 2.44
2 Nd 0.1389 0.4991 0.5695 [8 per cell]  2 N 2.59
3 Pt 0.1752 0.0019 0.0874 [8 per cell]  6 Nd 2.92-3.01
4 N 0.0000 0.4559 0.2500 [4 per cell]  5 Nd 2.44-2.59